(1)
A geometry-optimized TcMoAu2 structure. Source: Alexandria via LeMat-Bulk, functional GGA-PBE.

Lattice parameters (Å, degrees): 2.8275 2.8275 28.3843 90.00 90.00 120.00
With the nearest neighbours (Å) after each atom.
Space group R-3m (No. 166, hexagonal axes)
One atom of each set of equivalent atoms:
Tc: 0.0000 0.0000 0.0000 [3 per cell]  6 Tc 2.83, 6 Au 2.86
Mo: 0.0000 0.0000 0.5000 [3 per cell]  6 Mo 2.83, 6 Au 2.89
Au: 0.0000 0.0000 0.2506 [6 per cell]  6 Au 2.83, 3 Tc 2.86, 3 Mo 2.89

Computed properties:
* energy relative to the lowest polymorph listed for this composition: 215 meV/atom
* energy relative to the elements: 1.6 eV per formula unit
* total magnetic moment: 0.017 μB per cell

---

(2)
A geometry-optimized TcMoAu2 structure. Source: Alexandria via LeMat-Bulk, functional GGA-PBE.

Lattice parameters (Å, degrees): 2.8753 2.8753 28.0649 90.00 90.00 120.00
With the nearest neighbours (Å) after each atom.
Space group R3m (No. 160, hexagonal axes)
One atom of each set of equivalent atoms:
Tc: 0.0000 0.0000 0.0000 [3 per cell]  3 Mo 2.62, 6 Tc 2.88
Mo: 0.0000 0.0000 0.7387 [3 per cell]  3 Tc 2.62, 6 Mo 2.88
Au: 0.0000 0.0000 0.2472 [3 per cell]  9 Au 2.88-3.00, 3 Tc 2.93
Au: 0.0000 0.0000 0.4915 [3 per cell]  9 Au 2.88-3.00, 3 Mo 2.93

Computed properties:
* energy relative to the lowest polymorph listed for this composition: 23 meV/atom
* energy relative to the elements: 0.9 eV per formula unit
* total magnetic moment: 0.000 μB per cell

---

(3)
A geometry-optimized TcMo2Au structure. Source: Alexandria via LeMat-Bulk, functional GGA-PBE.

Lattice parameters (Å, degrees): 3.9783 3.9783 7.9546 90.00 90.00 90.00
With the nearest neighbours (Å) after each atom.
Space group I4/mmm (No. 139)
One atom of each set of equivalent atoms:
Tc: 0.0000 0.0000 0.0000 [2 per cell]  8 Mo 2.81, 4 Au 2.81
Mo: 0.0000 0.5000 0.2500 [4 per cell]  4 Tc 2.81, 4 Au 2.81, 4 Mo 2.81
Au: 0.0000 0.0000 0.5000 [2 per cell]  8 Mo 2.81, 4 Tc 2.81

Computed properties:
* energy relative to the lowest polymorph listed for this composition: 14 meV/atom
* energy relative to the elements: 0.6 eV per formula unit
* total magnetic moment: 0.000 μB per cell

---

(4)
A geometry-optimized TcMoAu2 structure. Source: Alexandria via LeMat-Bulk, functional GGA-PBE.

Lattice parameters (Å, degrees): 5.8068 5.8068 11.4888 90.00 90.00 90.00
With the nearest neighbours (Å) after each atom.
Space group I-42d (No. 122)
One atom of each set of equivalent atoms:
Tc: 0.0000 0.0000 0.0000 [4 per cell]  4 Au 2.49
Mo: 0.0000 0.0000 0.5000 [4 per cell]  4 Au 2.52
Au: 0.2469 0.2500 0.1250 [8 per cell]  2 Tc 2.49, 2 Mo 2.52

Computed properties:
* energy relative to the lowest polymorph listed for this composition: 1494 meV/atom
* energy relative to the elements: 6.7 eV per formula unit
* total magnetic moment: 0.000 μB per cell

---

(5)
A geometry-optimized TcMo2Au structure. Source: Alexandria via LeMat-Bulk, functional GGA-PBE.

Lattice parameters (Å, degrees): 3.2238 4.3861 9.1017 90.00 90.00 90.00
With the nearest neighbours (Å) after each atom.
Space group Cmm2 (No. 35)
One atom of each set of equivalent atoms:
Tc: 0.0000 0.0000 0.0000 [2 per cell]  2 Mo 2.66, 4 Tc 2.72, 2 Au 2.89
Mo: 0.0000 0.0000 0.4754 [2 per cell]  6 Mo 2.72-2.73, 2 Au 2.88
Mo: 0.0000 0.5000 0.2331 [2 per cell]  2 Tc 2.66, 6 Mo 2.72-2.73
Au: 0.0000 0.5000 0.7371 [2 per cell]  4 Au 2.72, 2 Mo 2.88, 2 Tc 2.89

Computed properties:
* energy relative to the lowest polymorph listed for this composition: 57 meV/atom
* energy relative to the elements: 0.8 eV per formula unit
* total magnetic moment: 0.000 μB per cell

---

(6)
A geometry-optimized TcMo2Au structure. Source: Alexandria via LeMat-Bulk, functional GGA-PBE.

Lattice parameters (Å, degrees): 6.3685 6.3685 6.3685 90.00 90.00 90.00
With the nearest neighbours (Å) after each atom.
Space group Fm-3m (No. 225)
One atom of each set of equivalent atoms:
Tc: 0.0000 0.0000 0.0000 [4 per cell]  8 Mo 2.76
Mo: 0.2500 0.2500 0.2500 [8 per cell]  4 Tc 2.76, 4 Au 2.76
Au: 0.0000 0.0000 0.5000 [4 per cell]  8 Mo 2.76

Computed properties:
* energy relative to the lowest polymorph listed for this composition: 319 meV/atom
* energy relative to the elements: 1.9 eV per formula unit
* total magnetic moment: 0.000 μB per cell

---

(7)
A geometry-optimized TcMoAu2 structure. Source: Alexandria via LeMat-Bulk, functional GGA-PBE.

Lattice parameters (Å, degrees): 3.4761 3.4761 5.5111 90.00 90.00 90.00
With the nearest neighbours (Å) after each atom.
Space group P4/mmm (No. 123)
One atom of each set of equivalent atoms:
Tc: 0.0000 0.0000 0.0000 [1 per cell]  2 Mo 2.76, 8 Au 2.82
Mo: 0.0000 0.0000 0.5000 [1 per cell]  2 Tc 2.76, 8 Au 2.82
Au: 0.5000 0.5000 0.2490 [2 per cell]  2 Au 2.74-2.77, 4 Tc 2.82, 4 Mo 2.82

Computed properties:
* energy relative to the lowest polymorph listed for this composition: 324 meV/atom
* energy relative to the elements: 2.1 eV per formula unit
* total magnetic moment: 0.000 μB per cell

---

(8)
A geometry-optimized TcMoAu2 structure. Source: Alexandria via LeMat-Bulk, functional GGA-PBE.

Lattice parameters (Å, degrees): 2.7406 4.3735 5.4455 90.00 90.00 90.00
With the nearest neighbours (Å) after each atom.
Space group Pmmm (No. 47)
One atom of each set of equivalent atoms:
Tc: 0.0000 0.0000 0.0000 [1 per cell]  2 Mo 2.72, 2 Tc 2.74, 8 Au 2.92
Mo: 0.0000 0.0000 0.5000 [1 per cell]  2 Tc 2.72, 2 Mo 2.74, 8 Au 2.92
Au: 0.5000 0.5000 0.2502 [2 per cell]  4 Au 2.72-2.74, 4 Mo 2.92, 4 Tc 2.92

Computed properties:
* energy relative to the lowest polymorph listed for this composition: 141 meV/atom
* energy relative to the elements: 1.3 eV per formula unit
* total magnetic moment: 0.000 μB per cell

---

(9)
A geometry-optimized Tc2MoAu structure. Source: Alexandria via LeMat-Bulk, functional GGA-PBE.

Lattice parameters (Å, degrees): 3.9798 3.9798 3.8882 90.00 90.00 90.00
With the nearest neighbours (Å) after each atom.
Space group P4/mmm (No. 123)
One atom of each set of equivalent atoms:
Tc: 0.0000 0.5000 0.0000 [2 per cell]  4 Mo 2.78, 4 Au 2.78, 4 Tc 2.81
Mo: 0.0000 0.0000 0.5000 [1 per cell]  8 Tc 2.78, 4 Au 2.81
Au: 0.5000 0.5000 0.5000 [1 per cell]  8 Tc 2.78, 4 Mo 2.81

Computed properties:
* energy relative to the lowest polymorph listed for this composition: 1 meV/atom
* energy relative to the elements: 0.7 eV per formula unit
* total magnetic moment: 0.000 μB per cell

---

(10)
A geometry-optimized TcMoAu2 structure. Source: Alexandria via LeMat-Bulk, functional GGA-PBE.

Lattice parameters (Å, degrees): 4.0332 4.0332 7.9909 90.00 90.00 90.00
With the nearest neighbours (Å) after each atom.
Space group I-4m2 (No. 119)
One atom of each set of equivalent atoms:
Tc: 0.0000 0.0000 0.0000 [2 per cell]  4 Mo 2.84, 8 Au 2.84-2.85
Mo: 0.0000 0.5000 0.2500 [2 per cell]  4 Tc 2.84, 8 Au 2.84-2.85
Au: 0.0000 0.0000 0.5000 [2 per cell]  4 Mo 2.84, 4 Au 2.84, 4 Tc 2.85
Au: 0.0000 0.5000 0.7500 [2 per cell]  4 Tc 2.84, 4 Au 2.84, 4 Mo 2.85

Computed properties:
* energy relative to the lowest polymorph listed for this composition: 85 meV/atom
* energy relative to the elements: 1.1 eV per formula unit
* total magnetic moment: 0.000 μB per cell

---

(11)
A geometry-optimized TcMoAu4 structure. Source: Alexandria via LeMat-Bulk, functional GGA-PBE.

Lattice parameters (Å, degrees): 7.6261 7.6261 7.6261 90.00 90.00 90.00
With the nearest neighbours (Å) after each atom.
Space group F-43m (No. 216)
One atom of each set of equivalent atoms:
Tc: 0.0000 0.0000 0.0000 [4 per cell]  12 Au 3.16, 4 Mo 3.30
Mo: 0.2500 0.2500 0.2500 [4 per cell]  12 Au 3.16, 4 Tc 3.30
Au: 0.1250 0.1250 0.6250 [16 per cell]  6 Au 2.70

Computed properties:
* energy relative to the elements: 4.1 eV per formula unit
* total magnetic moment: 0.812 μB per cell

---

(12)
A geometry-optimized Tc2MoAu structure. Source: Alexandria via LeMat-Bulk, functional GGA-PBE.

Lattice parameters (Å, degrees): 2.7885 2.7885 28.0193 90.00 90.00 120.00
With the nearest neighbours (Å) after each atom.
Space group R3m (No. 160, hexagonal axes)
One atom of each set of equivalent atoms:
Tc: 0.0000 0.0000 0.0000 [3 per cell]  9 Tc 2.66-2.79, 3 Mo 2.83
Tc: 0.0000 0.0000 0.2579 [3 per cell]  9 Tc 2.66-2.79, 3 Au 2.94
Mo: 0.0000 0.0000 0.7496 [3 per cell]  6 Mo 2.79, 3 Tc 2.83, 3 Au 2.93
Au: 0.0000 0.0000 0.5035 [3 per cell]  6 Au 2.79, 3 Mo 2.93, 3 Tc 2.94

Computed properties:
* energy relative to the lowest polymorph listed for this composition: 34 meV/atom
* energy relative to the elements: 0.8 eV per formula unit
* total magnetic moment: 0.000 μB per cell

---

Q: What is the total magnetic moment in the seventh record?
A: 0.000 μB per cell